Here is a geometry-optimized CaHgN2F structure from Alexandria via LeMat-Bulk. Energies are from PBE.

## Properties
- E_form (uncorrected) (eV/atom) = 0.409
- excess energy over the best structure of this formula in the dataset (meV/atom) = 65

```
5
Lattice="5.013 0.000 0.000 0.000 5.013 0.000 0.000 0.000 4.348" Properties=species:S:1:pos:R:3 pbc="T T T"
Ca 0.000 0.000 0.000
Hg 2.506 2.506 2.174
N 0.000 2.506 0.000
N 2.506 0.000 0.000
F 0.000 0.000 2.174
```